No. 1
Here is a relaxed ZnRh2N crystal from Alexandria via LeMat-Bulk. Energies are from GGA-PBE.

Properties
The calculation puts the calculated total energy at -94.99 eV for the cell shown. As for the size of the total moment: 0.00 μB per cell.

Unit cell a=6.316 b=6.316 c=5.575 alpha=90.00 beta=90.00 gamma=90.00
Space group I-42d (No. 122)
Asymmetric unit:
Zn 0.000 0.000 0.000 x4
Rh 0.135 0.250 0.625 x8
N 0.000 0.000 0.500 x4

No. 2
Here is a relaxed Na2PO4 crystal from Alexandria via LeMat-Bulk. Energies are from GGA-PBE.

Properties
The calculation puts the calculated total energy at -78.03 eV for the cell shown. As for the size of the total moment: 2.04 μB per cell.

Unit cell a=10.543 b=2.756 c=5.919 alpha=90.00 beta=120.56 gamma=90.00
Space group C2/m (No. 12)
Asymmetric unit:
Na 0.153 0.000 0.168 x4
P 0.000 0.500 0.500 x2
O 0.025 0.500 0.791 x4
O 0.130 0.000 0.589 x4

Number 1: offset from the most stable computed form 0.00 kcal/mol of atoms, ΔE_f (raw) 0.55 eV/f.u.. Number 2: offset from the most stable computed form 6.61 kcal/mol of atoms, ΔE_f (raw) -11.13 eV/f.u..